Compound: HfScHg2Au
Source: the Alexandria database
Functional: GGA-PBE
Structure: optimized geometry

Lattice parameters (Å, degrees): 5.3813 5.3813 5.0740 90.00 90.00 90.00
Atoms (fractional coordinates):
Hf1 0.0000 0.0000 0.0000
Sc1 0.5000 0.5000 0.5000
Hg1 0.0000 0.5000 0.0000
Hg2 0.5000 0.0000 0.0000
Au1 0.0000 0.0000 0.5000

## Properties
- crystal system = tetragonal
- total DFT energy (no corrections) (eV per atom) = -3.4671
- energy of formation (eV per atom) = 0.57


Compound: HfScHgAu
Source: the Alexandria database
Functional: GGA-PBE
Structure: optimized geometry

Lattice parameters (Å, degrees): 4.8812 4.8812 4.8812 60.00 60.00 60.00
Atoms (fractional coordinates):
Hf1 0.0000 0.0000 0.0000
Sc1 0.5000 0.5000 0.5000
Hg1 0.7500 0.7500 0.7500
Au1 0.2500 0.2500 0.2500

## Properties
- crystal system = cubic
- total DFT energy (no corrections) (eV per atom) = -5.3420
- energy of formation (eV per atom) = -0.38


Compound: TbHfHgAu
Source: the Alexandria database
Functional: GGA-PBE
Structure: optimized geometry

Lattice parameters (Å, degrees): 5.0330 5.0330 5.0330 60.00 60.00 60.00
Atoms (fractional coordinates):
Tb1 0.0000 0.0000 0.0000
Hf1 0.5000 0.5000 0.5000
Hg1 0.7500 0.7500 0.7500
Au1 0.2500 0.2500 0.2500

## Properties
- crystal system = cubic
- total DFT energy (no corrections) (eV per atom) = -4.8853
- energy of formation (eV per atom) = -0.34


Compound: HfTiHgAu
Source: the Alexandria database
Functional: GGA-PBE
Structure: optimized geometry

Lattice parameters (Å, degrees): 3.4621 3.4621 6.4099 90.00 90.00 90.00
Atoms (fractional coordinates):
Hf1 0.0000 0.0000 0.0000
Ti1 0.5000 0.5000 0.2675
Hg1 0.0000 0.0000 0.4996
Au1 0.5000 0.5000 0.7646

## Properties
- crystal system = tetragonal
- total DFT energy (no corrections) (eV per atom) = -5.6252
- energy of formation (eV per atom) = -0.27